(1)
Density functional theory data (PBE-GGA) for an optimized crystal structure of YNpU2As4.

Cell lengths 4.056, 7.169, 7.064 Å; angles 108.93, 90.00, 90.00 degrees
Element x y z (fractional)
1 As 0.000 0.751 0.252
2 Y 0.000 0.000 0.000
3 Np 0.500 0.500 0.000
4 As 0.000 0.249 0.748
5 As 0.500 0.749 0.747
6 U 0.500 0.000 0.500
7 As 0.500 0.251 0.253
8 U 0.000 0.500 0.500

* symmetry: P2/m, No. 10
* ΔE_f: -0.899 eV per atom
* DOS(E_F): 2.383 states/eV/atom
* uncorrected energy: -67.77 eV per cell

=====

(2)
Density functional theory data (PBE-GGA) for an optimized crystal structure of SiBAuC.

Cell lengths 3.072, 2.765, 6.247 Å; angles 90.00, 100.93, 90.00 degrees
Element x y z (fractional)
1 B 0.427 0.000 0.477
2 C 0.362 0.500 0.357
3 Si 0.792 0.500 0.172
4 Au 0.637 0.000 0.827

* symmetry: Pm, No. 6
* formation energy from raw total energies: 0.212 eV per atom
* DOS(E_F): 0.272 states/eV/atom
* uncorrected energy: -23.75 eV per cell
* polymorph energy (0 for the lowest one): 0.000 eV per atom

=====

(3)
Density functional theory data (PBE-GGA) for an optimized crystal structure of Tm8GaSi3Se4.

Cell lengths 8.038, 8.230, 8.038 Å; angles 119.24, 120.00, 90.00 degrees
Element x y z (fractional)
1 Se 0.000 0.000 0.000
2 Ga 0.000 0.500 0.000
3 Si 0.500 0.500 0.000
4 Tm 0.257 0.259 0.008
5 Tm 0.249 0.741 0.992
6 Se 0.500 0.000 0.000
7 Se 0.000 0.000 0.500
8 Tm 0.744 0.732 0.488
9 Tm 0.751 0.260 0.502
10 Tm 0.743 0.741 0.992
11 Tm 0.256 0.268 0.512
12 Se 0.500 0.000 0.500
13 Si 0.500 0.500 0.500
14 Si 0.000 0.500 0.500
15 Tm 0.249 0.740 0.498
16 Tm 0.751 0.259 0.008

* symmetry: R-3m, No. 166
* formation energy from raw total energies: -1.213 eV per atom
* DOS(E_F): 0.348 states/eV/atom
* uncorrected energy: -88.41 eV per cell

=====

(4)
Density functional theory data (PBE-GGA) for an optimized crystal structure of SrLi2AcSn2.

Cell lengths 4.964, 4.964, 8.278 Å; angles 90.00, 90.00, 120.00 degrees
Element x y z (fractional)
1 Li 0.333 0.667 0.758
2 Sr 0.000 0.000 0.000
3 Sn 0.667 0.333 0.740
4 Sn 0.333 0.667 0.260
5 Li 0.667 0.333 0.242
6 Ac 0.000 0.000 0.500

* symmetry: P-3m1, No. 164
* ΔE_f: -0.577 eV per atom
* DOS(E_F): 0.631 states/eV/atom
* uncorrected energy: -21.09 eV per cell

=====

(5)
Density functional theory data (PBE-GGA) for an optimized crystal structure of LaNdPaO6.

Cell lengths 4.688, 6.061, 6.061 Å; angles 120.00, 90.00, 90.00 degrees
Element x y z (fractional)
1 O 0.250 0.638 0.976
2 Nd 0.500 0.667 0.333
3 Pa 0.000 0.333 0.667
4 O 0.250 0.337 0.362
5 O 0.250 0.024 0.663
6 O 0.750 0.024 0.362
7 O 0.750 0.337 0.976
8 O 0.750 0.638 0.663
9 La 0.500 0.000 0.000

* symmetry: P312, No. 149
* formation energy from raw total energies: -3.113 eV per atom
* DOS(E_F): 1.153 states/eV/atom
* uncorrected energy: -76.95 eV per cell

=====

(6)
Density functional theory data (PBE-GGA) for an optimized crystal structure of NpGaIr2.

Cell lengths 3.827, 4.258, 4.258 Å; angles 90.00, 90.00, 90.00 degrees
Element x y z (fractional)
1 Ga 0.500 0.000 0.000
2 Ir 0.000 0.500 0.000
3 Ir 0.000 0.000 0.500
4 Np 0.500 0.500 0.500

* symmetry: P4/mmm, No. 123
* ΔE_f: -0.279 eV per atom
* DOS(E_F): 1.217 states/eV/atom
* uncorrected energy: -34.81 eV per cell

=====

(7)
Density functional theory data (PBE-GGA) for an optimized crystal structure of Fe2ReIr.

Cell lengths 4.473, 4.473, 2.650 Å; angles 90.00, 90.00, 107.67 degrees
Element x y z (fractional)
1 Fe 0.000 0.000 0.000
2 Re 0.000 0.500 0.500
3 Fe 0.500 0.500 0.000
4 Ir 0.500 0.000 0.500

* symmetry: Cmmm, No. 65
* ΔE_f: 0.048 eV per atom
* DOS(E_F): 1.369 states/eV/atom
* uncorrected energy: -38.04 eV per cell

=====

(8)
Density functional theory data (PBE-GGA) for an optimized crystal structure of CrInCo3.

Cell lengths 4.221, 4.221, 4.221 Å; angles 90.00, 90.00, 90.00 degrees
Element x y z (fractional)
1 Co 0.000 0.500 0.000
2 Co 0.000 0.000 0.500
3 Co 0.500 0.000 0.000
4 Cr 0.000 0.000 0.000
5 In 0.500 0.500 0.500

* symmetry: Pm-3m, No. 221
* ΔE_f: 0.948 eV per atom
* DOS(E_F): 1.383 states/eV/atom
* uncorrected energy: -28.94 eV per cell
* polymorph energy (0 for the lowest one): 0.000 eV per atom